Density functional theory data (PBE) for an optimized crystal structure of Ba3NaRuO6.

Cell and atoms, written as CIF:
```
data_Ba3NaRuO6
_chemical_formula_sum 'Ba18 Na6 Ru6 O36'
_symmetry_space_group_name_H-M 'R -3 c'
_symmetry_Int_Tables_number 167
_symmetry_space_group_name_Hall '-R 3 2"c'
_cell_length_a 10.2544
_cell_length_b 10.2544
_cell_length_c 12.0649
_cell_angle_alpha 90.00
_cell_angle_beta 90.00
_cell_angle_gamma 120.00
loop_
_atom_site_label
_atom_site_type_symbol
_atom_site_fract_x
_atom_site_fract_y
_atom_site_fract_z
Ba1 Ba 0.0000 0.3569 0.2500
Na1 Na 0.0000 0.0000 0.2500
Ru1 Ru 0.0000 0.0000 0.0000
O1 O 0.0176 0.1673 0.4018
```

## Properties
E: -6.255 eV per atom
Mass density: 5.7 g cm⁻³
ΔE_f (raw): -2.0633 eV per atom

Density functional theory data (PBE) for an optimized crystal structure of BaNa2Ru2O7.

Cell and atoms, written as CIF:
```
data_BaNa2Ru2O7
_chemical_formula_sum 'Ba2 Na4 Ru4 O14'
_symmetry_space_group_name_H-M 'C 1 2/m 1'
_symmetry_Int_Tables_number 12
_cell_length_a 19.767
_cell_length_b 3.916
_cell_length_c 4.374
_cell_angle_alpha 90.00
_cell_angle_beta 102.70
_cell_angle_gamma 90.00
loop_
_symmetry_equiv_pos_as_xyz
'x,y,z'
'-x,-y,-z'
'-x,y,-z'
'x,-y,z'
'x+1/2,y+1/2,z'
'-x+1/2,-y+1/2,-z'
'-x+1/2,y+1/2,-z'
'x+1/2,-y+1/2,z'
loop_
_atom_site_label
_atom_site_type_symbol
_atom_site_fract_x
_atom_site_fract_y
_atom_site_fract_z
Ba1 Ba 0.000 0.000 0.000
Na1 Na 0.230 0.500 0.229
Ru1 Ru 0.108 0.500 0.577
O1 O 0.000 0.500 0.500
O2 O 0.100 0.000 0.619
O3 O 0.103 0.500 0.142
O4 O 0.204 0.500 0.704
```

## Properties
E: -6.182 eV per atom
Mass density: 5.0 g cm⁻³
ΔE_f (raw): -1.3635 eV per atom

Density functional theory data (PBE) for an optimized crystal structure of Ba3Na3RuO8.

Cell and atoms, written as CIF:
```
data_Ba3Na3RuO8
_chemical_formula_sum 'Ba9 Na9 Ru3 O24'
_symmetry_space_group_name_H-M 'R -3 m'
_symmetry_Int_Tables_number 166
_symmetry_space_group_name_Hall '-R 3 2"'
_cell_length_a 7.4306
_cell_length_b 7.4306
_cell_length_c 16.9173
_cell_angle_alpha 90.00
_cell_angle_beta 90.00
_cell_angle_gamma 120.00
loop_
_atom_site_label
_atom_site_type_symbol
_atom_site_fract_x
_atom_site_fract_y
_atom_site_fract_z
Ba1 Ba 0.0000 0.5000 0.0000
Na1 Na 0.0000 0.5000 0.5000
Ru1 Ru 0.0000 0.0000 0.0000
O1 O 0.0000 0.0000 0.2474
O2 O 0.0844 0.5422 0.7326
```

## Properties
E: -5.591 eV per atom
Mass density: 4.4 g cm⁻³
ΔE_f (raw): -1.6803 eV per atom

Density functional theory data (PBE) for an optimized crystal structure of Ba4NaRu3O12.

Cell and atoms, written as CIF:
```
data_Ba4NaRu3O12
_chemical_formula_sum 'Ba8 Na2 Ru6 O24'
_symmetry_space_group_name_H-M 'P 63 m c'
_symmetry_Int_Tables_number 186
_symmetry_space_group_name_Hall 'P 6c -2c'
_cell_length_a 5.8755
_cell_length_b 5.8755
_cell_length_c 19.4695
_cell_angle_alpha 90.00
_cell_angle_beta 90.00
_cell_angle_gamma 120.00
loop_
_atom_site_label
_atom_site_type_symbol
_atom_site_fract_x
_atom_site_fract_y
_atom_site_fract_z
Ba1 Ba 0.0000 0.0000 0.0000
Ba2 Ba 0.3333 0.6667 0.1280
Ba3 Ba 0.3333 0.6667 0.3820
Ba4 Ba 0.3333 0.6667 0.7556
Na1 Na 0.3333 0.6667 0.9422
Ru1 Ru 0.0000 0.0000 0.1813
Ru2 Ru 0.0000 0.0000 0.3184
Ru3 Ru 0.3333 0.6667 0.5661
O1 O 0.0269 0.5135 0.5110
O2 O 0.1517 0.3034 0.2466
O3 O 0.1564 0.3129 0.8709
O4 O 0.1655 0.3310 0.6269
```

## Properties
E: -6.657 eV per atom
Mass density: 6.1 g cm⁻³
ΔE_f (raw): -1.8397 eV per atom

Density functional theory data (PBE) for an optimized crystal structure of Ba2Na3RuO6.

Cell and atoms, written as CIF:
```
data_Ba2Na3RuO6
_chemical_formula_sum 'Ba4 Na6 Ru2 O12'
_symmetry_space_group_name_H-M 'C 1 2/m 1'
_symmetry_Int_Tables_number 12
_cell_length_a 6.205
_cell_length_b 11.358
_cell_length_c 5.889
_cell_angle_alpha 90.00
_cell_angle_beta 108.97
_cell_angle_gamma 90.00
loop_
_symmetry_equiv_pos_as_xyz
'x,y,z'
'-x,-y,-z'
'-x,y,-z'
'x,-y,z'
'x+1/2,y+1/2,z'
'-x+1/2,-y+1/2,-z'
'-x+1/2,y+1/2,-z'
'x+1/2,-y+1/2,z'
loop_
_atom_site_label
_atom_site_type_symbol
_atom_site_fract_x
_atom_site_fract_y
_atom_site_fract_z
Ba1 Ba 0.000 0.170 0.000
Na1 Na 0.000 0.000 0.500
Na2 Na 0.000 0.376 0.500
Ru1 Ru 0.000 0.500 0.000
O1 O 0.195 0.374 0.219
O2 O 0.213 0.500 0.801
```

## Properties
E: -5.589 eV per atom
Mass density: 4.6 g cm⁻³
ΔE_f (raw): -1.6863 eV per atom

Density functional theory data (PBE) for an optimized crystal structure of Ba2NaRuO4.

Cell and atoms, written as CIF:
```
data_Ba2NaRuO4
_chemical_formula_sum 'Ba4 Na2 Ru2 O8'
_symmetry_space_group_name_H-M 'I -4'
_symmetry_Int_Tables_number 82
_cell_length_a 6.366
_cell_length_b 6.366
_cell_length_c 7.046
_cell_angle_alpha 90.00
_cell_angle_beta 90.00
_cell_angle_gamma 90.00
loop_
_symmetry_equiv_pos_as_xyz
'x,y,z'
'y,-x,-z'
'-x,-y,z'
'-y,x,-z'
'x+1/2,y+1/2,z+1/2'
'y+1/2,-x+1/2,-z+1/2'
'-x+1/2,-y+1/2,z+1/2'
'-y+1/2,x+1/2,-z+1/2'
loop_
_atom_site_label
_atom_site_type_symbol
_atom_site_fract_x
_atom_site_fract_y
_atom_site_fract_z
Ba1 Ba 0.000 0.000 0.000
Ba2 Ba 0.000 0.500 0.250
Na1 Na 0.000 0.000 0.500
Ru1 Ru 0.000 0.500 0.750
O1 O 0.180 0.749 0.716
```

## Properties
E: -6.019 eV per atom
Mass density: 5.4 g cm⁻³
ΔE_f (raw): -1.7346 eV per atom